VASP calculation (PBE) on crystalline RbCu3F8 at its relaxed geometry.

Computed properties:
raw total energy = -3.976 eV/atom

Unit cell a=5.3655 b=5.3655 c=7.6773 alpha=90.00 beta=90.00 gamma=120.00
Site moments in Bohr magnetons follow the coordinates.
Sites, in units of the cell vectors:
Cu1 0.6667 0.3333 0.8065  0.82
F1 0.6667 0.3333 0.5685  0.21
F2 0.2982 0.9996 0.8524  0.15
Rb1 0.0000 0.0000 0.5000  0.00
F3 0.9996 0.7014 0.1476  0.15
Cu2 0.0000 0.0000 0.0000  0.95
F4 0.0004 0.2986 0.8524  0.15
Cu3 0.3333 0.6667 0.1935  0.82
F5 0.7018 0.0004 0.1476  0.15
F6 0.3333 0.6667 0.4315  0.21
F7 0.2986 0.2982 0.1476  0.15
F8 0.7014 0.7018 0.8524  0.15